VASP calculation (PBE) on crystalline Np4Ga16Pd3 at its relaxed geometry.

```
Np4Ga16Pd3
1.0
-2.959 0.328 -5.436
-5.415 -0.836 2.897
-1.044 11.043 1.234
Np Ga Pd
4 16 3
Direct
0.000 0.500 0.188
0.500 0.000 0.812
0.500 0.000 0.188
0.000 0.500 0.812
0.712 0.712 0.000
0.254 0.254 0.374
0.746 0.254 0.626
0.000 0.000 0.772
0.500 0.500 0.200
0.712 0.288 0.000
0.000 0.000 0.228
0.746 0.746 0.374
0.254 0.254 0.626
0.288 0.712 0.000
0.288 0.288 0.000
0.746 0.746 0.626
0.254 0.746 0.374
0.254 0.746 0.626
0.746 0.254 0.374
0.500 0.500 0.800
0.000 0.500 0.500
0.500 0.000 0.500
0.000 0.000 0.000
```

## Properties
ΔH_f (0 K) (eV/atom): -0.356
Total moment (Bohr magnetons per cell): 16.07